[1]
This record from Alexandria describes a geometry-optimized ZnAg2Ru structure. The functional is PBE.

volume	15.848	Å³ per atom
formation enthalpy at 0 K	0.25	eV per atom
energy	-15.25	eV/cell
theoretical density	10.012	g cm⁻³

a b c (Å): 9.5172 9.5172 9.5172
angles (deg): 16.88 16.88 16.88
Last column: nearest neighbours and their distance in Å.
Element x y z (fractional)
Zn: 0.0000 0.0000 0.0000  6 Zn 2.79, 6 Ag 2.81
Ag: 0.2515 0.2515 0.2515  6 Ag 2.79, 3 Zn 2.81, 3 Ru 2.88
Ag: 0.7485 0.7485 0.7485  6 Ag 2.79, 3 Zn 2.81, 3 Ru 2.88
Ru: 0.5000 0.5000 0.5000  6 Ru 2.79, 6 Ag 2.88


[2]
This record from Alexandria describes a geometry-optimized Ce2Pr3NdN6 structure. The functional is PBE.

energy relative to the elements, uncorrected	-1.4005	eV/atom
volume	16.998	Å³ per atom
energy	-97.73	eV/cell
theoretical density	7.581	g cm⁻³

a b c (Å): 6.2955 6.2955 6.3030
angles (deg): 99.59 99.59 120.00
Last column: nearest neighbours and their distance in Å.
Element x y z (fractional)
Ce: 0.1667 0.8333 0.0000  6 N 2.49
Ce: 0.8333 0.1667 0.0000  6 N 2.49
Pr: 0.0000 0.0000 0.5000  6 N 2.57-2.65
Pr: 0.3333 0.6667 0.5000  6 N 2.57-2.66
Pr: 0.6667 0.3333 0.5000  6 N 2.57-2.66
Nd: 0.5000 0.5000 0.0000  6 N 2.58
N: 0.0771 0.4216 0.7645  2 Ce 2.49, 3 Pr 2.57-2.65, 1 Nd 2.58
N: 0.2333 0.2333 0.2343  2 Ce 2.49, 3 Pr 2.57-2.66, 1 Nd 2.58
N: 0.4216 0.0771 0.7645  2 Ce 2.49, 3 Pr 2.57-2.65, 1 Nd 2.58
N: 0.5784 0.9229 0.2355  2 Ce 2.49, 3 Pr 2.57-2.65, 1 Nd 2.58
N: 0.7667 0.7667 0.7657  2 Ce 2.49, 3 Pr 2.57-2.66, 1 Nd 2.58
N: 0.9229 0.5784 0.2355  2 Ce 2.49, 3 Pr 2.57-2.65, 1 Nd 2.58